No. 1
Computed, not measured: a relaxed Sn2Hg2Pd crystal at the PBE level of DFT.

energy relative to the lowest polymorph listed for this composition	18.0	kJ per mole of atoms
density of states at the Fermi level	2.62	states/eV/f.u.
calculated total energy	-13.03	eV/f.u.
magnetic moment	0.00	μB/f.u.
energy of formation from the pure elements	154	meV per atom

```
data_Sn2Hg2Pd
_cell_length_a 3.8385
_cell_length_b 3.8385
_cell_length_c 18.1149
_cell_angle_alpha 90.00
_cell_angle_beta 90.00
_cell_angle_gamma 90.00
_symmetry_space_group_name_H-M 'I 4/m m m'
_symmetry_Int_Tables_number 139
_symmetry_space_group_name_Hall '-I 4 2'
loop_
_atom_site_label
_atom_site_fract_x
_atom_site_fract_y
_atom_site_fract_z
_atom_site_occupancy
Sn1 0.0000 0.0000 0.0814 1
Hg1 0.0000 0.5000 0.2500 1
Pd1 0.0000 0.0000 0.5000 1
```


No. 2
Computed, not measured: a relaxed K2TlTeS4 crystal at the PBE level of DFT.

density of states at the Fermi level	1.68	states/eV/f.u.
calculated total energy	-27.93	eV/f.u.
formation energy without anion corrections	-0.47	eV per atom
magnetic moment	0.00	μB/f.u.

```
data_K2TlTeS4
_cell_length_a 11.8464
_cell_length_b 11.8122
_cell_length_c 8.3540
_cell_angle_alpha 90.00
_cell_angle_beta 132.37
_cell_angle_gamma 90.00
_symmetry_space_group_name_H-M 'C 1 2/c 1'
_symmetry_Int_Tables_number 15
loop_
_symmetry_equiv_pos_as_xyz
'x,y,z'
'-x,-y,-z'
'-x,y,-z+1/2'
'x,-y,z+1/2'
'x+1/2,y+1/2,z'
'-x+1/2,-y+1/2,-z'
'-x+1/2,y+1/2,-z+1/2'
'x+1/2,-y+1/2,z+1/2'
loop_
_atom_site_label
_atom_site_fract_x
_atom_site_fract_y
_atom_site_fract_z
_atom_site_occupancy
K1 0.0000 0.0000 0.0000 1
K2 0.2500 0.2500 0.0000 1
Tl1 0.0000 0.5000 0.0000 1
Te1 0.2500 0.2500 0.5000 1
S1 0.0240 0.2586 0.4960 1
S2 0.2196 0.4787 0.4561 1
```


No. 3
Computed, not measured: a relaxed WAuBr2 crystal at the PBE level of DFT.

energy relative to the lowest polymorph listed for this composition	99.8	kJ per mole of atoms
density of states at the Fermi level	2.29	states/eV/f.u.
calculated total energy	-14.57	eV/f.u.
formation energy without anion corrections	1.25	eV per atom
magnetic moment	3.37	μB/f.u.

```
data_WAuBr2
_cell_length_a 4.5806
_cell_length_b 4.5806
_cell_length_c 4.0288
_cell_angle_alpha 90.00
_cell_angle_beta 90.00
_cell_angle_gamma 90.00
_symmetry_space_group_name_H-M 'P 4/m m m'
_symmetry_Int_Tables_number 123
_symmetry_space_group_name_Hall '-P 4 2'
loop_
_atom_site_label
_atom_site_fract_x
_atom_site_fract_y
_atom_site_fract_z
_atom_site_occupancy
W1 0.0000 0.0000 0.0000 1
Au1 0.5000 0.5000 0.0000 1
Br1 0.0000 0.5000 0.5000 1
```


No. 4
Computed, not measured: a relaxed RePPt2 crystal at the PBE level of DFT.

energy relative to the lowest polymorph listed for this composition	23.6	kJ per mole of atoms
density of states at the Fermi level	2.47	states/eV/f.u.
calculated total energy	-29.31	eV/f.u.
magnetic moment	0.00	μB/f.u.
energy of formation from the pure elements	156	meV per atom

```
data_RePPt2
_cell_length_a 5.2396
_cell_length_b 8.2293
_cell_length_c 2.7771
_cell_angle_alpha 90.00
_cell_angle_beta 90.00
_cell_angle_gamma 90.00
_symmetry_space_group_name_H-M 'C m m m'
_symmetry_Int_Tables_number 65
_symmetry_space_group_name_Hall '-C 2 2'
loop_
_atom_site_label
_atom_site_fract_x
_atom_site_fract_y
_atom_site_fract_z
_atom_site_occupancy
Re1 0.0000 0.0000 0.0000 1
P1 0.0000 0.5000 0.0000 1
Pt1 0.2500 0.2500 0.5000 1
```


No. 5
Computed, not measured: a relaxed RbTlAs2O8 crystal at the PBE level of DFT.

density of states at the Fermi level	4.74	states/eV/f.u.
calculated total energy	-63.27	eV/f.u.
formation energy without anion corrections	-0.91	eV per atom
magnetic moment	2.01	μB/f.u.

```
data_RbTlAs2O8
_cell_length_a 5.3555
_cell_length_b 5.3555
_cell_length_c 25.6871
_cell_angle_alpha 90.00
_cell_angle_beta 90.00
_cell_angle_gamma 120.00
_symmetry_space_group_name_H-M 'R 3 2'
_symmetry_Int_Tables_number 155
_symmetry_space_group_name_Hall 'R 3 2"'
loop_
_atom_site_label
_atom_site_fract_x
_atom_site_fract_y
_atom_site_fract_z
_atom_site_occupancy
Rb1 0.0000 0.0000 0.0000 1
Tl1 0.0000 0.0000 0.5000 1
As1 0.0000 0.0000 0.2388 1
O1 0.0000 0.0000 0.3055 1
O2 0.0085 0.3139 0.2199 1
```


No. 6
Computed, not measured: a relaxed LaBr2 crystal at the PBE level of DFT.

density of states at the Fermi level	1.69	states/eV/f.u.
calculated total energy	-12.90	eV/f.u.
formation energy without anion corrections	-1.54	eV per atom
magnetic moment	0.00	μB/f.u.

```
data_LaBr2
_cell_length_a 5.3581
_cell_length_b 5.3581
_cell_length_c 6.6155
_cell_angle_alpha 90.00
_cell_angle_beta 90.00
_cell_angle_gamma 120.00
_symmetry_space_group_name_H-M 'P 63/m m c'
_symmetry_Int_Tables_number 194
_symmetry_space_group_name_Hall '-P 6c 2c'
loop_
_atom_site_label
_atom_site_fract_x
_atom_site_fract_y
_atom_site_fract_z
_atom_site_occupancy
La1 0.3333 0.6667 0.2500 1
Br1 0.0000 0.0000 0.0000 1
Br2 0.3333 0.6667 0.7500 1
```


Q: Among the records above, which one has the highest calculated total energy?
A: LaBr2


Copy entry 3 word for word.
Computed, not measured: a relaxed WAuBr2 crystal at the PBE level of DFT.

energy relative to the lowest polymorph listed for this composition	99.8	kJ per mole of atoms
density of states at the Fermi level	2.29	states/eV/f.u.
calculated total energy	-14.57	eV/f.u.
formation energy without anion corrections	1.25	eV per atom
magnetic moment	3.37	μB/f.u.

```
data_WAuBr2
_cell_length_a 4.5806
_cell_length_b 4.5806
_cell_length_c 4.0288
_cell_angle_alpha 90.00
_cell_angle_beta 90.00
_cell_angle_gamma 90.00
_symmetry_space_group_name_H-M 'P 4/m m m'
_symmetry_Int_Tables_number 123
_symmetry_space_group_name_Hall '-P 4 2'
loop_
_atom_site_label
_atom_site_fract_x
_atom_site_fract_y
_atom_site_fract_z
_atom_site_occupancy
W1 0.0000 0.0000 0.0000 1
Au1 0.5000 0.5000 0.0000 1
Br1 0.0000 0.5000 0.5000 1
```